## AlAg4Pt (meta-GGA SCAN)

Data for a PBEsol-optimized structure of AlAg4Pt.

Results
Its density is 10.63 g/cm3. The value obtained for the magnetic moment is 0.00 μB/f.u. For the formation energy, the calculation gives 0.25 eV per atom.

Cell: 5.2463 5.2463 5.2463 Å, 60.00 60.00 60.00°
Positions (direct):
Ag: 0.3750 0.3750 0.3750
Ag: 0.3750 0.3750 0.8751
Ag: 0.8751 0.3750 0.3750
Ag: 0.3750 0.8751 0.3750
Al: 0.7500 0.7500 0.7500
Pt: 0.0000 0.0000 0.0000



## Al3AgPt (meta-GGA SCAN)

Data for a PBEsol-optimized structure of Al3AgPt.

Results
Its density is 6.07 g/cm3. The value obtained for the magnetic moment is 0.00 μB/f.u. For the formation energy, the calculation gives -0.20 eV per atom.

Cell: 4.7169 4.7169 4.7169 Å, 90.00 90.00 90.00°
Positions (direct):
Ag: 0.5000 0.5000 0.5000
Pt: 0.0000 0.0000 0.0000
Al: 0.0000 0.5000 0.0000
Al: 0.0000 0.0000 0.5000
Al: 0.5000 0.0000 0.0000



> The highest formation energy belongs to which entry?

AlAg4Pt



> Look up the density of the second one.

6.07 g/cm3



> Which value of magnetic moment does entry 2 give?

0.00 μB/f.u.



> Which value of magnetic moment does entry 2 give?

0.00 μB/f.u.